The following is a DFT calculation (PBE+U) of a relaxed structure of CrHg2PO.

```
CrHg2PO
1.0
-0.346 4.994 -2.045
0.765 -1.632 -4.114
-5.317 -0.665 -0.725
Hg O P Cr
2 1 1 1
direct
0.500 0.000 0.000 Hg
0.000 0.000 0.500 Hg
0.500 0.500 0.500 O
0.000 0.500 0.000 P
0.000 0.000 0.000 Cr
```

Values from the calculation:
For the density of states at the Fermi level, the calculation gives 0.909 states/eV/atom. As for the total energy: -14.3 eV/f.u. The symmetry is P4/mmm. The value obtained for the energy above the most stable polymorph in this dataset is 88 meV per atom.